Computed, not measured: Pa2BeCo6 after structural relaxation at the GGA-PBE level of DFT.

Structure (CIF):
```
data_Pa2BeCo6
_chemical_formula_sum 'Pa8 Be4 Co24'
_symmetry_space_group_name_H-M 'F m -3 m'
_symmetry_Int_Tables_number 225
_symmetry_space_group_name_Hall '-F 4 2 3'
_cell_length_a 7.795
_cell_length_b 7.795
_cell_length_c 7.795
_cell_angle_alpha 90.00
_cell_angle_beta 90.00
_cell_angle_gamma 90.00
loop_
_atom_site_label
_atom_site_fract_x
_atom_site_fract_y
_atom_site_fract_z
_atom_site_occupancy
Pa1 0.250 0.250 0.250 1
Be1 0.000 0.000 0.000 1
Co1 0.000 0.000 0.266 1
```

The calculation puts the spin magnetization at 6.3 μB/cell. Its total energy is -7.615 eV/atom. The energy of formation comes out at -0.35 eV/atom.